Sr3MgRhO6 | PBE | relaxed

Lattice parameters (Å, degrees): 6.735 6.735 6.735 92.59 92.59 92.59
Sites, in units of the cell vectors:
Sr  0.115  0.750  0.385
Sr  0.250  0.615  0.885
Sr  0.385  0.115  0.750
Sr  0.615  0.885  0.250
Sr  0.750  0.385  0.115
Sr  0.885  0.250  0.615
Mg  0.250  0.250  0.250
Mg  0.750  0.750  0.750
Rh  0.000  0.000  0.000
Rh  0.500  0.500  0.500
O  0.037  0.906  0.712
O  0.094  0.288  0.963
O  0.212  0.406  0.537
O  0.288  0.963  0.094
O  0.406  0.537  0.212
O  0.463  0.788  0.594
O  0.537  0.212  0.406
O  0.594  0.463  0.788
O  0.712  0.037  0.906
O  0.788  0.594  0.463
O  0.906  0.712  0.037
O  0.963  0.094  0.288

Properties
As for the space-group type: No. 167. The value obtained for the formation energy from raw total energies is -2.26 eV/atom. The total energy comes out at -6.24 eV/atom.